This record from Alexandria describes crystalline GaReTe2N at its relaxed geometry. The functional is PBE.

```
data_GaReTe2N
_chemical_formula_sum 'Ga1 Re1 Te2 N1'
_symmetry_space_group_name_H-M 'P 4/m m m'
_symmetry_Int_Tables_number 123
_symmetry_space_group_name_Hall '-P 4 2'
_cell_length_a 5.507
_cell_length_b 5.507
_cell_length_c 3.734
_cell_angle_alpha 90.00
_cell_angle_beta 90.00
_cell_angle_gamma 90.00
loop_
_atom_site_label
_atom_site_type_symbol
_atom_site_fract_x
_atom_site_fract_y
_atom_site_fract_z
_atom_site_occupancy
Ga1 Ga 0.000 0.000 0.000 1
Re1 Re 0.500 0.500 0.500 1
Te1 Te 0.000 0.500 0.500 1
N1 N 0.500 0.500 0.000 1
```

Properties
* magnetic moment: 0.00 μB/f.u.
* DOS at the Fermi energy: 0.642 states/eV per atom
* ΔE_f (raw): 0.2702 eV per atom
* energy above the most stable polymorph in this dataset: 0 meV/atom